Record 1
Here is a relaxed structure of CaNd2Tl9 from Alexandria via LeMat-Bulk. Energies are from PBE-GGA.

Summary:
- ΔE_f (eV/atom) = -0.288
- volume (Å³ per atom) = 28.37

abc: 4.8378 4.8378 14.5448
angles: 90.00 90.00 90.00
Fractional coordinates of all 12 atoms:
Ca  0.0000  0.0000  0.0000
Nd  0.0000  0.0000  0.3365
Nd  0.0000  0.0000  0.6635
Tl  0.5000  0.5000  0.0000
Tl  0.5000  0.5000  0.3326
Tl  0.5000  0.5000  0.6674
Tl  0.5000  0.0000  0.1671
Tl  0.5000  0.0000  0.5000
Tl  0.5000  0.0000  0.8329
Tl  0.0000  0.5000  0.1671
Tl  0.0000  0.5000  0.5000
Tl  0.0000  0.5000  0.8329

---

Record 2
Here is a relaxed structure of CuPb2 from Alexandria via LeMat-Bulk. Energies are from PBE-GGA.

Summary:
- ΔE_f (eV/atom) = 0.182
- volume (Å³ per atom) = 24.69

abc: 7.6901 7.6901 4.3386
angles: 90.00 90.00 120.00
Fractional coordinates of all 9 atoms:
Cu  0.3333  0.6667  0.0000
Cu  0.6667  0.3333  0.0000
Cu  0.0000  0.0000  0.5000
Pb  0.2598  0.0000  0.0000
Pb  0.0000  0.2598  0.0000
Pb  0.7402  0.7402  0.0000
Pb  0.5958  0.0000  0.5000
Pb  0.0000  0.5958  0.5000
Pb  0.4042  0.4042  0.5000

---

Record 3
Here is a relaxed structure of ScTl4Si from Alexandria via LeMat-Bulk. Energies are from PBE-GGA.

Summary:
- volume (Å³ per atom) = 27.62

abc: 6.1654 6.1654 6.1654
angles: 60.00 60.00 60.00
Fractional coordinates of all 6 atoms:
Sc  0.7500  0.7500  0.7500
Tl  0.8757  0.3748  0.3748
Tl  0.3748  0.3748  0.8757
Tl  0.3748  0.8757  0.3748
Tl  0.3748  0.3748  0.3748
Si  0.0000  0.0000  0.0000

---

The Fermi-level density of states results, record by record, are as follows: 5.77; 1.53; 6.54 states/eV/f.u..
The energy results, record by record, are as follows: -3.02; -3.66; -3.05 eV/atom.